! PBE-GGA Y2Tm2AlGa4, relaxed; values from VASP
! Energy: -39.7 eV/cell
! Theoretical density: 6.4 Mg/m³
! Space group: I4/mmm
! Crystal system: tetragonal
! Spin magnetization: 0.00 μB/f.u.
! ΔH_f (0 K): -221 meV/atom
&SYSTEM
  ibrav = 0, nat = 9, ntyp = 4
/
ATOMIC_SPECIES
Y 88.91 Y.upf
Tm 168.93 Tm.upf
Al 26.98 Al.upf
Ga 69.72 Ga.upf
ATOMIC_POSITIONS crystal
Y 0.189 0.189 0.000
Y 0.811 0.811 0.000
Tm 0.250 0.750 0.500
Tm 0.750 0.250 0.500
Al 0.500 0.500 0.000
Ga 0.249 0.249 0.498
Ga 0.249 0.751 0.000
Ga 0.751 0.249 0.000
Ga 0.751 0.751 0.502
CELL_PARAMETERS angstrom
-3.469 3.469 4.426
3.469 -3.469 4.426
3.469 3.469 -4.426